(1)
{
  "formula": "LiY2HgN",
  "functional": "PBE",
  "state": "relaxed",
  "cell": [[-1.1730, 4.5470, 1.0405], [-1.4614, 0.6606, -4.5345], [-3.9267, -1.2606, 1.0819]],
  "species": ["Y", "Y", "Li", "Hg", "N"],
  "frac_coords": [[0.0000, 0.5000, 0.0000], [0.5000, 0.0000, 0.0000], [0.0000, 0.0000, 0.5000], [0.5000, 0.5000, 0.5000], [0.0000, 0.0000, 0.0000]],
  "spacegroup": "P4/mmm, No. 123",
  "total_energy_ev_per_cell": -27.3,
  "crystal_system": "tetragonal"
}

(2)
{
  "formula": "InHg2HCl",
  "functional": "PBE",
  "state": "relaxed",
  "cell": [[4.5111, 0.0000, 0.0000], [0.0000, 4.5111, 0.0000], [0.0000, 0.0000, 5.8541]],
  "species": ["H", "Cl", "Hg", "Hg", "In"],
  "frac_coords": [[0.0000, 0.0000, 0.0000], [0.5000, 0.5000, 0.5000], [0.0000, 0.5000, 0.0000], [0.5000, 0.0000, 0.0000], [0.0000, 0.0000, 0.5000]],
  "spacegroup": "P4/mmm, No. 123",
  "total_energy_ev_per_cell": -8.5,
  "crystal_system": "tetragonal"
}

(3)
{
  "formula": "Na2ThWN4",
  "functional": "PBE",
  "state": "relaxed",
  "cell": [[5.1632, 0.0000, 0.0000], [0.0000, 7.2366, 0.0000], [0.0000, 0.0000, 7.2247]],
  "species": ["Na", "Na", "Na", "Na", "Th", "Th", "W", "W", "N", "N", "N", "N", "N", "N", "N", "N"],
  "frac_coords": [[0.4570, 0.3618, 0.2497], [0.4570, 0.3618, 0.7503], [0.9570, 0.6382, 0.7497], [0.9570, 0.6382, 0.2503], [0.9551, 0.1334, 0.5000], [0.4551, 0.8666, 0.0000], [0.5020, 0.8152, 0.5000], [0.0020, 0.1848, 0.0000], [0.3586, 0.1703, 0.0000], [0.8586, 0.8297, 0.5000], [0.4285, 0.0743, 0.5000], [0.9285, 0.9257, 0.0000], [0.4209, 0.6958, 0.7286], [0.9209, 0.3042, 0.2286], [0.9209, 0.3042, 0.7714], [0.4209, 0.6958, 0.2714]],
  "spacegroup": "Pmn2_1, No. 31",
  "total_energy_ev_per_cell": -125.4,
  "crystal_system": "orthorhombic"
}

(4)
{
  "formula": "Y5TlIr4",
  "functional": "PBE",
  "state": "relaxed",
  "cell": [[3.5055, 0.0000, 0.0000], [0.0000, 3.5055, 0.0000], [0.0000, 0.0000, 17.6762]],
  "species": ["Y", "Y", "Y", "Y", "Y", "Tl", "Ir", "Ir", "Ir", "Ir"],
  "frac_coords": [[0.5000, 0.5000, 0.1235], [0.5000, 0.5000, 0.3111], [0.5000, 0.5000, 0.5000], [0.5000, 0.5000, 0.6889], [0.5000, 0.5000, 0.8765], [0.0000, 0.0000, 0.0000], [0.0000, 0.0000, 0.2134], [0.0000, 0.0000, 0.4051], [0.0000, 0.0000, 0.5949], [0.0000, 0.0000, 0.7866]],
  "spacegroup": "P4/mmm, No. 123",
  "total_energy_ev_per_cell": -77.1,
  "crystal_system": "tetragonal"
}

no.,D(E_F) (states/eV per atom)
1,1.01
2,0.20
3,0.00
4,1.00